No. 1
5
Lattice="-3.068 5.864 2.523 -2.921 1.199 -6.340 -5.676 -3.787 1.899" Properties=species:S:1:pos:R:3 comment="Rb3BeBi SCAN PBEsol geometry" e_form_mev_per_atom=491 magnetic_moment_mub_per_fu=0.0 pbc="T T T"
Rb -1.461 0.600 -3.170
Be -5.833 1.638 -0.959
Rb -1.534 2.932 1.261
Bi 0.000 0.000 0.000
Rb -2.838 -1.894 0.950

---

No. 2
4
Lattice="-0.818 1.830 -2.301 0.776 -0.710 -2.864 -9.824 -5.514 -2.918" Properties=species:S:1:pos:R:3 comment="K2SbOs SCAN PBEsol geometry" formation_energy_uncorrected_ev_per_fu=3.62 magnetic_moment_mub_per_fu=1.0 pbc="T T T"
K -2.593 -1.174 -2.036
Sb 0.000 0.000 0.000
K -7.273 -3.220 -6.047
Os -4.933 -2.197 -4.042

---

No. 3
5
Lattice="-2.948 2.459 1.404 0.823 -1.196 3.822 2.710 3.039 0.368" Properties=species:S:1:pos:R:3 comment="TlHPt3 SCAN PBEsol geometry" e_tot_ev_per_atom=-57.197 magnetic_moment_mub_per_fu=0.0 pbc="T T T"
Pt 0.411 -0.598 1.911
H 0.000 0.000 0.000
Pt -1.474 1.230 0.702
Tl 0.292 2.151 2.797
Pt 1.355 1.519 0.184

---

No. 4
6
Lattice="3.450 0.000 0.000 0.000 3.784 0.000 -1.725 0.000 5.440" Properties=species:S:1:pos:R:3 comment="Mn2Zn SCAN PBEsol geometry" e_form_mev_per_atom=-97 magnetic_moment_mub_per_fu=0.6 pbc="T T T"
Zn 0.000 2.838 0.881
Mn 1.725 0.946 1.082
Mn 0.000 2.838 4.357
Zn 1.725 0.946 4.558
Mn 0.000 0.946 2.668
Mn 1.725 2.838 2.772

---

No. 5
5
Lattice="5.274 0.000 0.000 0.000 5.274 0.000 -2.637 -2.637 4.968" Properties=species:S:1:pos:R:3 comment="BaLi2Tl2 SCAN PBEsol geometry" e_form_mev_per_atom=-363 magnetic_moment_mub_per_fu=0.0 pbc="T T T"
Tl 2.637 0.000 2.484
Tl 0.000 2.637 2.484
Ba 0.000 0.000 0.000
Li 2.637 2.637 1.370
Li 0.000 0.000 3.598

---

No. 6
4
Lattice="3.400 0.000 0.000 0.000 4.462 0.000 -1.700 -2.231 4.947" Properties=species:S:1:pos:R:3 comment="CaRe2Pb SCAN PBEsol geometry" e_form_mev_per_atom=961 magnetic_moment_mub_per_fu=0.0 pbc="T T T"
Re 1.700 2.231 2.479
Re 0.000 0.000 2.468
Ca 1.700 0.000 0.000
Pb 0.000 2.231 0.000

---

No. 7
4
Lattice="3.910 0.000 0.000 0.000 4.886 0.000 0.000 0.000 4.886" Properties=species:S:1:pos:R:3 comment="In2CuTe SCAN PBEsol geometry" formation_energy_uncorrected_ev_per_fu=1.17 magnetic_moment_mub_per_fu=0.0 pbc="T T T"
Cu 1.955 0.000 0.000
In 0.000 2.443 0.000
Te 1.955 2.443 2.443
In 0.000 0.000 2.443

---

No. 8
4
Lattice="4.778 0.000 0.000 2.389 4.138 0.000 2.389 1.379 3.901" Properties=species:S:1:pos:R:3 comment="SiSe2Br SCAN PBEsol geometry" formation_energy_uncorrected_ev_per_fu=3.15 magnetic_moment_mub_per_fu=0.0 pbc="T T T"
Si 4.778 2.759 1.951
Se 7.167 4.138 2.926
Br 0.000 0.000 0.000
Se 2.389 1.379 0.975

---

No. 9
6
Lattice="4.952 0.000 0.000 2.476 4.288 0.000 2.476 1.429 4.043" Properties=species:S:1:pos:R:3 comment="TaSi4Ag SCAN PBEsol geometry" formation_energy_uncorrected_ev_per_fu=2.64 magnetic_moment_mub_per_fu=0.0 pbc="T T T"
Si 4.952 1.433 2.525
Ag 0.000 0.000 0.000
Si 6.186 3.571 2.525
Ta 2.476 1.429 1.011
Si 4.952 2.859 0.510
Si 3.717 3.571 2.525

---

No. 10
28
Lattice="-3.704 4.251 -0.944 -5.093 0.048 2.595 3.642 4.794 7.122" Properties=species:S:1:pos:R:3 comment="Li4Nb2Fe3Co3O16 SCAN PBEsol geometry" formation_energy_uncorrected_ev_per_fu=-56.61 magnetic_moment_mub_per_fu=3.0 pbc="T T T"
O -5.107 1.916 2.592
O -1.472 6.229 6.818
O 2.919 3.864 5.734
O -3.791 6.239 7.935
Li 3.624 4.771 7.087
Nb -1.120 3.792 4.063
Fe -2.859 4.944 6.913
Fe -2.196 6.949 5.224
Li -4.412 4.749 3.907
O -4.397 4.066 0.781
O -7.001 4.078 2.093
O -3.019 3.664 3.165
Co -3.220 1.781 3.093
O 1.103 1.478 2.188
O -1.386 1.763 3.591
O -3.174 8.105 6.362
Nb -2.263 7.650 8.194
O -3.672 5.799 5.444
Co -2.534 3.858 1.344
O -2.509 1.970 1.354
Li -6.985 6.676 5.185
O -1.852 3.622 5.859
Li 0.361 5.732 6.947
Co -4.724 7.003 6.460
Fe -0.703 1.769 1.825
O -0.761 3.655 1.998
O -1.152 5.739 4.076
O 0.765 3.581 4.552

---

No. 11
3
Lattice="-2.036 0.614 -2.946 0.952 -3.243 -1.333 -4.077 -1.143 4.821" Properties=species:S:1:pos:R:3 comment="KNiTe SCAN PBEsol geometry" formation_energy_uncorrected_ev_per_fu=-0.57 magnetic_moment_mub_per_fu=0.0 pbc="T T T"
Ni -2.442 -1.299 1.417
Te -2.656 -2.440 -0.913
K -0.064 -0.034 0.037

---

No. 12
5
Lattice="4.359 0.000 0.000 0.000 4.359 0.000 0.000 0.000 4.359" Properties=species:S:1:pos:R:3 comment="ZnCo3W SCAN PBEsol geometry" e_form_mev_per_atom=1643 magnetic_moment_mub_per_fu=2.7 pbc="T T T"
Co 0.000 2.179 0.000
W 0.000 0.000 0.000
Zn 2.179 2.179 2.179
Co 2.179 0.000 0.000
Co 0.000 0.000 2.179

---

No. 13
7
Lattice="-3.225 3.173 -2.869 -5.295 -0.810 0.055 -3.218 3.493 2.479" Properties=species:S:1:pos:R:3 comment="Zn6Mo SCAN PBEsol geometry" e_form_mev_per_atom=-50 magnetic_moment_mub_per_fu=0.3 pbc="T T T"
Mo 0.000 0.000 0.000
Zn -1.613 1.587 -1.434
Zn -4.257 1.341 1.267
Zn -2.648 -0.405 0.027
Zn -1.609 1.746 1.239
Zn -4.260 1.182 -1.407
Zn -3.222 3.333 -0.195

---

No. 14
4
Lattice="3.134 0.000 0.000 -1.567 4.688 0.008 0.000 -0.916 5.729" Properties=species:S:1:pos:R:3 comment="ZrCdHg2 SCAN PBEsol geometry" e_form_mev_per_atom=-145 magnetic_moment_mub_per_fu=0.0 pbc="T T T"
Cd 1.567 0.000 0.000
Hg 1.567 1.653 4.293
Zr 0.000 -0.458 2.864
Hg 0.000 2.118 1.443

---

No. 15
5
Lattice="-0.973 0.695 -4.107 -3.319 -2.679 0.333 -2.518 3.262 1.148" Properties=species:S:1:pos:R:3 comment="TaCu3Cl SCAN PBEsol geometry" formation_energy_uncorrected_ev_per_fu=6.72 magnetic_moment_mub_per_fu=1.7 pbc="T T T"
Cu -0.486 0.348 -2.054
Cu -1.259 1.631 0.574
Cl 0.000 0.000 0.000
Ta -3.405 0.639 -1.313
Cu -1.659 -1.339 0.166

---

No. 16
4
Lattice="-2.591 -0.573 -2.049 -0.409 -0.215 3.320 -2.616 10.543 0.361" Properties=species:S:1:pos:R:3 comment="Ce3Y SCAN PBEsol geometry" e_form_mev_per_atom=111 magnetic_moment_mub_per_fu=0.0 pbc="T T T"
Y -2.444 4.937 1.711
Ce -0.633 2.549 0.087
Ce -1.863 -0.454 -0.259
Ce -1.984 7.994 0.274

---

No. 17
5
Lattice="-3.050 0.621 3.086 -2.632 -2.860 -2.027 1.832 -3.463 2.507" Properties=species:S:1:pos:R:3 comment="BaSrCo2H SCAN PBEsol geometry" e_tot_ev_per_atom=-19.256 magnetic_moment_mub_per_fu=3.4 pbc="T T T"
Co -1.316 -1.430 -1.013
Co -1.525 0.310 1.543
H 0.000 0.000 0.000
Sr -1.925 -2.851 1.783
Ba 0.916 -1.732 1.253

---

No. 18
4
Lattice="-2.323 -0.652 2.258 -1.615 -3.991 -2.953 5.089 -0.676 2.693" Properties=species:S:1:pos:R:3 comment="Tl2CrAu SCAN PBEsol geometry" e_form_mev_per_atom=271 magnetic_moment_mub_per_fu=4.2 pbc="T T T"
Au -1.162 -0.326 1.129
Tl 0.575 -2.660 0.999
Tl 2.545 -0.338 1.346
Cr -0.808 -1.996 -1.476

---

No. 19
4
Lattice="-0.743 1.229 2.666 2.921 -2.703 2.059 3.215 3.077 -0.522" Properties=species:S:1:pos:R:3 comment="LaNi2Os SCAN PBEsol geometry" e_form_mev_per_atom=321 magnetic_moment_mub_per_fu=0.0 pbc="T T T"
Ni 1.461 -1.351 1.030
Ni 1.608 1.539 -0.261
La -0.371 0.614 1.333
Os 2.697 0.801 2.102

---

No. 20
3
Lattice="3.215 0.000 0.000 0.000 3.315 0.000 -1.608 -1.657 4.296" Properties=species:S:1:pos:R:3 comment="LiCrAu SCAN PBEsol geometry" e_form_mev_per_atom=-146 magnetic_moment_mub_per_fu=4.3 pbc="T T T"
Cr 1.608 1.657 1.408
Li 0.000 0.000 2.927
Au 1.608 1.657 4.257

---

No. 21
6
Lattice="-0.036 -4.545 -0.046 1.404 -2.336 5.084 -5.155 -2.248 1.558" Properties=species:S:1:pos:R:3 comment="EuAlGa SCAN PBEsol geometry" e_form_mev_per_atom=-536 magnetic_moment_mub_per_fu=7.2 pbc="T T T"
Al -2.091 -6.849 4.601
Eu -0.063 -4.585 3.869
Eu -3.725 -4.544 2.727
Ga -1.014 -4.546 0.825
Ga -2.773 -4.583 5.771
Al -1.696 -2.280 1.995

---

No. 22
5
Lattice="5.105 0.000 0.000 0.000 5.105 0.000 -2.553 -2.553 4.627" Properties=species:S:1:pos:R:3 comment="LaZr2Ge2 SCAN PBEsol geometry" e_form_mev_per_atom=-435 magnetic_moment_mub_per_fu=0.0 pbc="T T T"
Ge 2.553 0.000 2.313
Zr 0.000 0.000 3.073
Ge 0.000 2.553 2.313
La 0.000 0.000 0.000
Zr 2.553 2.553 1.553

---

No. 23
4
Lattice="2.780 0.000 0.000 -1.390 4.964 -0.038 0.000 -2.481 4.650" Properties=species:S:1:pos:R:3 comment="ZnPt2Cl SCAN PBEsol geometry" formation_energy_uncorrected_ev_per_fu=-0.19 magnetic_moment_mub_per_fu=0.0 pbc="T T T"
Pt 0.000 -0.265 3.942
Zn 1.390 -0.271 1.756
Cl 1.390 2.173 1.674
Pt 1.390 2.088 4.176

---

No. 24
6
Lattice="-2.495 -1.421 0.421 3.219 -3.684 -3.363 2.148 -1.675 7.083" Properties=species:S:1:pos:R:3 comment="Mg5Ta SCAN PBEsol geometry" e_form_mev_per_atom=203 magnetic_moment_mub_per_fu=0.0 pbc="T T T"
Mg 2.138 -3.893 -0.473
Mg 2.720 -3.976 2.704
Ta 1.700 -4.307 5.542
Mg 0.072 -2.673 1.409
Mg 1.596 -1.609 4.031
Mg 2.836 -6.741 4.060

---

No. 25
4
Lattice="3.226 0.000 0.000 0.000 4.467 0.000 -1.613 -2.234 4.378" Properties=species:S:1:pos:R:3 comment="LiMgZn2 SCAN PBEsol geometry" e_form_mev_per_atom=-163 magnetic_moment_mub_per_fu=0.0 pbc="T T T"
Zn 1.613 0.000 2.120
Zn 0.000 0.000 0.145
Li 0.000 0.000 4.239
Mg 0.000 2.234 2.252

---

No. 26
5
Lattice="-0.667 1.535 3.603 -2.151 -3.198 0.965 3.273 -1.789 1.368" Properties=species:S:1:pos:R:3 comment="LiAgO3 SCAN PBEsol geometry" formation_energy_uncorrected_ev_per_fu=-0.01 magnetic_moment_mub_per_fu=1.3 pbc="T T T"
O 1.637 -0.894 0.684
O -1.075 -1.599 0.482
Li 0.228 -1.726 2.968
Ag 0.000 0.000 0.000
O -0.333 0.768 1.802